Entry 1:
Below is an optimized crystal structure of TcI3O, with properties calculated at the PBE-GGA level.

Lattice parameters (Å, degrees): 11.1536 8.7110 10.5220 100.47 90.00 90.00
Last column: nearest neighbours and their distance in Å.
Fractional coordinates of all 20 atoms:
I: 0.7782 0.5864 0.0796  1 Tc 2.58
I: 0.8003 0.0500 0.0547  1 Tc 2.58
I: 0.5666 0.2346 0.6762  1 Tc 2.58
I: 0.4334 0.7654 0.3238  1 Tc 2.58
I: 0.5666 0.7654 0.8238  1 Tc 2.58
I: 0.8003 0.9500 0.4453  1 Tc 2.58
I: 0.4334 0.2346 0.1762  1 Tc 2.58
I: 0.1997 0.0500 0.5547  1 Tc 2.58
I: 0.1997 0.9500 0.9453  1 Tc 2.58
I: 0.2218 0.5864 0.5796  1 Tc 2.58
I: 0.7782 0.4136 0.4204  1 Tc 2.58
I: 0.2218 0.4136 0.9204  1 Tc 2.58
O: 0.8881 0.2665 0.6977  1 Tc 1.69
O: 0.1119 0.7335 0.3023  1 Tc 1.69
O: 0.8881 0.7335 0.8023  1 Tc 1.69
O: 0.1119 0.2665 0.1977  1 Tc 1.69
Tc: 0.2192 0.2249 0.0835  1 O 1.69
Tc: 0.7808 0.7751 0.9165  1 O 1.69
Tc: 0.7808 0.2249 0.5835  1 O 1.69
Tc: 0.2192 0.7751 0.4165  1 O 1.69

The raw formation energy comes out at -319 meV per atom. The calculation puts the size of the total moment at 2.0 μB per formula unit. As for the symmetry: P2/c (13).



Entry 2:
Below is an optimized crystal structure of Cs2Se2Cl7, with properties calculated at the PBE-GGA level.

Lattice parameters (Å, degrees): 7.6048 7.5336 7.5336 96.31 91.55 91.55
Last column: nearest neighbours and their distance in Å.
Fractional coordinates of all 11 atoms:
Cl: 0.7130 0.8929 0.5806  1 Se 2.46
Cl: 0.2870 0.1071 0.4194  1 Se 2.46
Cl: 0.7130 0.5806 0.8929  1 Se 2.46
Cl: 0.5000 0.0000 0.0000  2 Se 2.50
Cl: 0.1701 0.7488 0.7488  1 Se 2.41
Cl: 0.8299 0.2512 0.2512  1 Se 2.41
Cl: 0.2870 0.4194 0.1071  1 Se 2.46
Cs: 0.0000 0.2422 0.7578  4 Cl 3.49-3.50
Cs: 0.0000 0.7578 0.2422  4 Cl 3.49-3.50
Se: 0.5129 0.2486 0.2486  4 Cl 2.41-2.50
Se: 0.4871 0.7514 0.7514  4 Cl 2.41-2.50

The raw formation energy comes out at -782 meV per atom. The calculation puts the size of the total moment at 1.0 μB per formula unit. As for the symmetry: C2/m (12). The density of states at the Fermi level comes out at 4.7 states/eV per cell.



Entry 3:
Below is an optimized crystal structure of PmZn8Pt4, with properties calculated at the PBE-GGA level.

Lattice parameters (Å, degrees): 5.5007 6.8187 6.8187 80.64 66.21 66.21
Last column: nearest neighbours and their distance in Å.
Fractional coordinates of all 13 atoms:
Pm: 0.0000 0.0000 0.0000  12 Zn 3.07-3.35, 8 Pt 3.41
Zn: 0.5000 0.2176 0.7824  4 Pt 2.62, 4 Zn 2.71-2.83
Zn: 0.6518 0.3482 0.3482  5 Zn 2.68-2.98, 4 Pt 2.74
Zn: 0.2824 0.2176 0.2176  4 Pt 2.62, 4 Zn 2.71-2.83
Zn: 0.5000 0.7824 0.2176  4 Pt 2.62, 4 Zn 2.71-2.83
Zn: 0.0000 0.6518 0.3482  5 Zn 2.68-2.98, 4 Pt 2.74
Zn: 0.3482 0.6518 0.6518  5 Zn 2.68-2.98, 4 Pt 2.74
Zn: 0.7176 0.7824 0.7824  4 Pt 2.62, 4 Zn 2.71-2.83
Zn: 0.0000 0.3482 0.6518  5 Zn 2.68-2.98, 4 Pt 2.74
Pt: 0.5000 0.5000 0.0000  8 Zn 2.62-2.74, 2 Pt 2.75
Pt: 0.0000 0.5000 0.0000  8 Zn 2.62-2.74, 2 Pt 2.75
Pt: 0.0000 0.0000 0.5000  8 Zn 2.62-2.74, 2 Pt 2.75
Pt: 0.5000 0.0000 0.5000  8 Zn 2.62-2.74, 2 Pt 2.75

The calculation puts the size of the total moment at 0.0 μB per formula unit. The formation energy is -0.527 eV/atom. As for the symmetry: I4/mmm (139). The density of states at the Fermi level comes out at 6.1 states/eV per cell.



Entry 4:
Below is an optimized crystal structure of FeTcRu2, with properties calculated at the PBE-GGA level.

Lattice parameters (Å, degrees): 4.6226 4.6226 2.6933 90.00 90.00 109.03
Last column: nearest neighbours and their distance in Å.
Fractional coordinates of all 4 atoms:
Ru: 0.5000 0.5000 0.0000  4 Fe 2.68, 4 Tc 2.68, 4 Ru 2.68-2.69
Ru: 0.0000 0.0000 0.0000  4 Tc 2.68, 4 Fe 2.68, 4 Ru 2.68-2.69
Fe: 0.0000 0.5000 0.5000  8 Ru 2.68, 2 Tc 2.68, 2 Fe 2.69
Tc: 0.5000 0.0000 0.5000  8 Ru 2.68, 2 Fe 2.68, 2 Tc 2.69

The calculation puts the size of the total moment at 1.7 μB per formula unit. The formation energy is 0.121 eV/atom. As for the symmetry: Cmmm (65). The density of states at the Fermi level comes out at 4.7 states/eV per cell.



Entry 5:
Below is an optimized crystal structure of MgIr2Os2, with properties calculated at the PBE-GGA level.

Lattice parameters (Å, degrees): 7.5933 7.5933 2.7723 90.00 90.00 90.00
Last column: nearest neighbours and their distance in Å.
Fractional coordinates of all 10 atoms:
Os: 0.8783 0.6217 0.0000  6 Ir 2.59-2.67, 3 Os 2.61-2.77
Os: 0.6217 0.1217 0.0000  6 Ir 2.59-2.67, 3 Os 2.61-2.77
Os: 0.1217 0.3783 0.0000  6 Ir 2.59-2.67, 3 Os 2.61-2.77
Os: 0.3783 0.8783 0.0000  6 Ir 2.59-2.67, 3 Os 2.61-2.77
Ir: 0.1747 0.6747 0.5000  6 Os 2.59-2.67, 2 Ir 2.77
Ir: 0.6747 0.8253 0.5000  6 Os 2.59-2.67, 2 Ir 2.77
Ir: 0.3253 0.1747 0.5000  6 Os 2.59-2.67, 2 Ir 2.77
Ir: 0.8253 0.3253 0.5000  6 Os 2.59-2.67, 2 Ir 2.77
Mg: 0.5000 0.5000 0.0000  2 Mg 2.77, 4 Os 3.02
Mg: 0.0000 0.0000 0.0000  2 Mg 2.77, 4 Os 3.02

The calculation puts the size of the total moment at 0.0 μB per formula unit. The formation energy is 0.145 eV/atom. As for the symmetry: P4/mbm (127). The density of states at the Fermi level comes out at 6.9 states/eV per cell.



Entry 6:
Below is an optimized crystal structure of CaHoBi, with properties calculated at the PBE-GGA level.

Lattice parameters (Å, degrees): 6.1641 3.5686 9.2517 78.88 90.00 90.00
Last column: nearest neighbours and their distance in Å.
Fractional coordinates of all 6 atoms:
Ca: 0.7500 0.6662 0.6676  5 Bi 3.25-3.57, 2 Ca 3.57
Ca: 0.2500 0.3338 0.3324  5 Bi 3.25-3.57, 2 Ca 3.57
Ho: 0.5000 0.0000 0.0000  2 Ho 3.08, 2 Bi 3.20
Ho: 0.0000 0.0000 0.0000  2 Ho 3.08, 2 Bi 3.20
Bi: 0.7500 0.8453 0.3094  2 Ho 3.20, 5 Ca 3.25-3.57, 2 Bi 3.57
Bi: 0.2500 0.1547 0.6906  2 Ho 3.20, 5 Ca 3.25-3.57, 2 Bi 3.57

The calculation puts the size of the total moment at 0.1 μB per formula unit. The formation energy is -0.340 eV/atom. As for the symmetry: Cmcm (63). The density of states at the Fermi level comes out at 3.7 states/eV per cell.



Entry 7:
Below is an optimized crystal structure of Ho5CS4, with properties calculated at the PBE-GGA level.

Lattice parameters (Å, degrees): 3.8345 3.8345 13.8909 97.93 97.93 90.00
Last column: nearest neighbours and their distance in Å.
Fractional coordinates of all 10 atoms:
S: 0.3997 0.3997 0.7993  6 Ho 2.73-2.78
S: 0.8040 0.8040 0.6080  6 Ho 2.72-2.96
S: 0.6003 0.6003 0.2007  6 Ho 2.73-2.78
S: 0.1960 0.1960 0.3920  6 Ho 2.72-2.96
Ho: 0.7023 0.7023 0.4046  6 S 2.72-2.78
Ho: 0.2977 0.2977 0.5954  6 S 2.72-2.78
Ho: 0.5000 0.5000 0.0000  4 C 2.71, 2 S 2.73
Ho: 0.0872 0.0872 0.1744  1 C 2.38
Ho: 0.9128 0.9128 0.8256  1 C 2.38
C: 0.0000 0.0000 0.0000  2 Ho 2.38

The raw formation energy comes out at -1678 meV per atom. The calculation puts the size of the total moment at 0.0 μB per formula unit. As for the symmetry: I4/mmm (139). The density of states at the Fermi level comes out at 3.5 states/eV per cell.



Entry 8:
Below is an optimized crystal structure of InAgBr2, with properties calculated at the PBE-GGA level.

Lattice parameters (Å, degrees): 5.8475 5.8475 5.8475 137.32 109.86 85.70
Last column: nearest neighbours and their distance in Å.
Fractional coordinates of all 4 atoms:
In: 0.7500 0.2500 0.5000  4 Br 3.27
Ag: 0.2500 0.7500 0.5000  4 Br 2.79
Br: 0.0398 0.0398 0.0000  2 Ag 2.79
Br: 0.4602 0.4602 0.0000  2 Ag 2.79

The raw formation energy comes out at -405 meV per atom. The calculation puts the size of the total moment at 0.0 μB per formula unit. As for the symmetry: Immm (71). The density of states at the Fermi level comes out at 0.0 states/eV per cell.



Entry 9:
Below is an optimized crystal structure of EuDyGaSn, with properties calculated at the PBE-GGA level.

Lattice parameters (Å, degrees): 5.3082 5.3082 5.3082 60.00 60.00 60.00
Last column: nearest neighbours and their distance in Å.
Fractional coordinates of all 4 atoms:
Sn: 0.7500 0.7500 0.7500  4 Dy 3.25, 4 Eu 3.25
Eu: 0.0000 0.0000 0.0000  4 Sn 3.25, 4 Ga 3.25
Ga: 0.2500 0.2500 0.2500  4 Dy 3.25, 4 Eu 3.25
Dy: 0.5000 0.5000 0.5000  4 Sn 3.25, 4 Ga 3.25

The calculation puts the size of the total moment at 7.1 μB per formula unit. The formation energy is -0.535 eV/atom. As for the symmetry: F-43m (216). The density of states at the Fermi level comes out at 2.0 states/eV per cell.



Entry 10:
Below is an optimized crystal structure of Mg5PdPt, with properties calculated at the PBE-GGA level.

Lattice parameters (Å, degrees): 6.8048 6.8048 8.8397 73.28 73.28 73.57
Last column: nearest neighbours and their distance in Å.
Fractional coordinates of all 14 atoms:
Mg: 0.3390 0.6998 0.0385  2 Pt 2.61-2.84, 1 Pd 2.64
Mg: 0.2948 0.2022 0.3558  1 Pt 2.56, 1 Pd 2.57
Mg: 0.2022 0.2948 0.8558  1 Pt 2.56, 1 Pd 2.57
Mg: 0.6998 0.3390 0.5385  2 Pt 2.61-2.84, 1 Pd 2.64
Mg: 0.1336 0.8664 0.7500  2 Pd 2.46, 1 Pt 2.57
Mg: 0.3002 0.6610 0.4615  2 Pt 2.61-2.84, 1 Pd 2.64
Mg: 0.6610 0.3002 0.9615  2 Pt 2.61-2.84, 1 Pd 2.64
Mg: 0.8664 0.1336 0.2500  2 Pd 2.46, 1 Pt 2.57
Mg: 0.7052 0.7978 0.6442  1 Pt 2.56, 1 Pd 2.57
Mg: 0.7978 0.7052 0.1442  1 Pt 2.56, 1 Pd 2.57
Pd: 0.0000 0.0000 0.0000  6 Mg 2.46-2.64
Pd: 0.0000 0.0000 0.5000  6 Mg 2.46-2.64
Pt: 0.5514 0.4486 0.2500  7 Mg 2.56-2.84
Pt: 0.4486 0.5514 0.7500  7 Mg 2.56-2.84

The calculation puts the size of the total moment at 0.0 μB per formula unit. The formation energy is -0.277 eV/atom. As for the symmetry: C2/c (15). The density of states at the Fermi level comes out at 4.6 states/eV per cell.



Entry 11:
Below is an optimized crystal structure of SrHo2Te4, with properties calculated at the PBE-GGA level.

Lattice parameters (Å, degrees): 4.4102 13.6848 16.0126 90.00 90.00 90.00
Last column: nearest neighbours and their distance in Å.
Fractional coordinates of all 28 atoms:
Ho: 0.2500 0.9443 0.1121  6 Te 3.03-3.11
Ho: 0.7500 0.5869 0.0933  6 Te 3.03-3.12
Ho: 0.7500 0.0557 0.8879  6 Te 3.03-3.11
Ho: 0.2500 0.4443 0.3879  6 Te 3.03-3.11
Ho: 0.2500 0.4131 0.9067  6 Te 3.03-3.12
Ho: 0.7500 0.5557 0.6121  6 Te 3.03-3.11
Ho: 0.2500 0.9131 0.5933  6 Te 3.03-3.12
Ho: 0.7500 0.0869 0.4067  6 Te 3.03-3.12
Sr: 0.7500 0.7407 0.8289  8 Te 3.43-3.82
Sr: 0.7500 0.2407 0.6711  8 Te 3.43-3.82
Sr: 0.2500 0.2593 0.1711  8 Te 3.43-3.82
Sr: 0.2500 0.7593 0.3289  8 Te 3.43-3.82
Te: 0.7500 0.4663 0.7855  3 Ho 3.03
Te: 0.2500 0.7023 0.6679  3 Ho 3.11-3.12, 2 Sr 3.43
Te: 0.7500 0.8718 0.4636  3 Ho 3.08, 2 Sr 3.45
Te: 0.2500 0.6282 0.9636  3 Ho 3.08, 2 Sr 3.45
Te: 0.2500 0.4047 0.5755  3 Ho 3.05-3.08
Te: 0.7500 0.7977 0.1679  3 Ho 3.11-3.12, 2 Sr 3.43
Te: 0.7500 0.2977 0.3321  3 Ho 3.11-3.12, 2 Sr 3.43
Te: 0.2500 0.5337 0.2145  3 Ho 3.03
Te: 0.7500 0.5953 0.4245  3 Ho 3.05-3.08
Te: 0.2500 0.0337 0.2855  3 Ho 3.03
Te: 0.2500 0.2023 0.8321  3 Ho 3.11-3.12, 2 Sr 3.43
Te: 0.7500 0.3718 0.0364  3 Ho 3.08, 2 Sr 3.45
Te: 0.2500 0.1282 0.5364  3 Ho 3.08, 2 Sr 3.45
Te: 0.7500 0.9663 0.7145  3 Ho 3.03
Te: 0.2500 0.9047 0.9245  3 Ho 3.05-3.08
Te: 0.7500 0.0953 0.0755  3 Ho 3.05-3.08

The raw formation energy comes out at -1493 meV per atom. The calculation puts the size of the total moment at 0.0 μB per formula unit. As for the symmetry: Pnma (62).



Entry 12:
Below is an optimized crystal structure of BaCo2Si, with properties calculated at the PBE-GGA level.

Lattice parameters (Å, degrees): 4.0786 4.0786 6.2723 71.07 71.07 60.00
Last column: nearest neighbours and their distance in Å.
Fractional coordinates of all 4 atoms:
Si: 0.4356 0.4356 0.6933  6 Co 2.38-2.43
Co: 0.0678 0.0678 0.7969  3 Co 2.37, 3 Si 2.43
Co: 0.7473 0.7473 0.7582  3 Co 2.37, 3 Si 2.38-2.39
Ba: 0.2492 0.2492 0.2516  4 Co 3.17-3.54, 4 Si 3.25-3.48

The raw formation energy comes out at -197 meV per atom. The calculation puts the size of the total moment at 2.8 μB per formula unit. As for the symmetry: R3m (160). The density of states at the Fermi level comes out at 3.4 states/eV per cell.